Record 1
A plane-wave DFT calculation with GGA-PBEsol was carried out for a relaxed structure of TiTe2Ir.

Calculated values
Raw formation energy (eV/f.u.): 0.50
E_tot (eV per cell): -74.10

CIF file:
```
data_TiTe2Ir
_symmetry_space_group_name_H-M 'R -3 m'
_symmetry_Int_Tables_number 166
_symmetry_space_group_name_Hall '-R 3 2"'
_cell_length_a 3.2890
_cell_length_b 3.2890
_cell_length_c 26.5254
_cell_angle_alpha 90.00
_cell_angle_beta 90.00
_cell_angle_gamma 120.00
loop_
_atom_site_label
_atom_site_type_symbol
_atom_site_fract_x
_atom_site_fract_y
_atom_site_fract_z
Ti1 Ti 0.0000 0.0000 0.0000
Te1 Te 0.0000 0.0000 0.4055
Ir1 Ir 0.0000 0.0000 0.5000
```

Record 2
A plane-wave DFT calculation with GGA-PBEsol was carried out for a relaxed structure of Ni2BiRuCl.

Calculated values
Raw formation energy (eV/f.u.): 8.47
E_tot (eV per cell): -20.31

CIF file:
```
data_Ni2BiRuCl
_symmetry_space_group_name_H-M 'P 4/m m m'
_symmetry_Int_Tables_number 123
_symmetry_space_group_name_Hall '-P 4 2'
_cell_length_a 4.7099
_cell_length_b 4.7099
_cell_length_c 5.2669
_cell_angle_alpha 90.00
_cell_angle_beta 90.00
_cell_angle_gamma 90.00
loop_
_atom_site_label
_atom_site_type_symbol
_atom_site_fract_x
_atom_site_fract_y
_atom_site_fract_z
Ni1 Ni 0.0000 0.5000 0.0000
Bi1 Bi 0.0000 0.0000 0.0000
Ru1 Ru 0.5000 0.5000 0.5000
Cl1 Cl 0.0000 0.0000 0.5000
```

Record 3
A plane-wave DFT calculation with GGA-PBEsol was carried out for a relaxed structure of BaScCl2.

Calculated values
Distance to the lowest polymorph of the same formula (kJ/mol of atoms): 84.5
Raw formation energy (eV/f.u.): -2.13
E_tot (eV per cell): -59.60

CIF file:
```
data_BaScCl2
_symmetry_space_group_name_H-M 'F -4 3 m'
_symmetry_Int_Tables_number 216
_symmetry_space_group_name_Hall 'F -4 2 3'
_cell_length_a 7.5831
_cell_length_b 7.5831
_cell_length_c 7.5831
_cell_angle_alpha 90.00
_cell_angle_beta 90.00
_cell_angle_gamma 90.00
loop_
_atom_site_label
_atom_site_type_symbol
_atom_site_fract_x
_atom_site_fract_y
_atom_site_fract_z
Ba1 Ba 0.0000 0.0000 0.0000
Sc1 Sc 0.2500 0.2500 0.7500
Cl1 Cl 0.0000 0.0000 0.5000
Cl2 Cl 0.2500 0.2500 0.2500
```

Record 4
A plane-wave DFT calculation with GGA-PBEsol was carried out for a relaxed structure of SiTe2As.

Calculated values
Raw formation energy (eV/f.u.): 1.62
E_tot (eV per cell): -65.15

CIF file:
```
data_SiTe2As
_symmetry_space_group_name_H-M 'F m -3 m'
_symmetry_Int_Tables_number 225
_symmetry_space_group_name_Hall '-F 4 2 3'
_cell_length_a 7.0482
_cell_length_b 7.0482
_cell_length_c 7.0482
_cell_angle_alpha 90.00
_cell_angle_beta 90.00
_cell_angle_gamma 90.00
loop_
_atom_site_label
_atom_site_type_symbol
_atom_site_fract_x
_atom_site_fract_y
_atom_site_fract_z
Si1 Si 0.0000 0.0000 0.0000
Te1 Te 0.2500 0.2500 0.2500
As1 As 0.0000 0.0000 0.5000
```

Record 5
A plane-wave DFT calculation with GGA-PBEsol was carried out for a relaxed structure of Eu2PtAu.

Calculated values
Energy of formation (eV/atom): -0.822
E_tot (eV per cell): -141.22

CIF file:
```
data_Eu2PtAu
_symmetry_space_group_name_H-M 'F m -3 m'
_symmetry_Int_Tables_number 225
_symmetry_space_group_name_Hall '-F 4 2 3'
_cell_length_a 7.1565
_cell_length_b 7.1565
_cell_length_c 7.1565
_cell_angle_alpha 90.00
_cell_angle_beta 90.00
_cell_angle_gamma 90.00
loop_
_atom_site_label
_atom_site_type_symbol
_atom_site_fract_x
_atom_site_fract_y
_atom_site_fract_z
Eu1 Eu 0.2500 0.2500 0.2500
Pt1 Pt 0.0000 0.0000 0.0000
Au1 Au 0.0000 0.0000 0.5000
```

Record 6
A plane-wave DFT calculation with GGA-PBEsol was carried out for a relaxed structure of Y2TeO6.

Calculated values
Raw formation energy (eV/f.u.): -22.84
E_tot (eV per cell): -143.01

CIF file:
```
data_Y2TeO6
_symmetry_space_group_name_H-M 'P 42/m n m'
_symmetry_Int_Tables_number 136
_symmetry_space_group_name_Hall '-P 4n 2n'
_cell_length_a 4.9350
_cell_length_b 4.9350
_cell_length_c 10.0043
_cell_angle_alpha 90.00
_cell_angle_beta 90.00
_cell_angle_gamma 90.00
loop_
_atom_site_label
_atom_site_type_symbol
_atom_site_fract_x
_atom_site_fract_y
_atom_site_fract_z
Y1 Y 0.0000 0.0000 0.1656
Te1 Te 0.0000 0.0000 0.5000
O1 O 0.1835 0.1835 0.3539
O2 O 0.2212 0.2212 0.0000
```

Record 7
A plane-wave DFT calculation with GGA-PBEsol was carried out for a relaxed structure of Ag3SbH.

Calculated values
E_tot (eV per cell): -16.89

CIF file:
```
data_Ag3SbH
_symmetry_space_group_name_H-M 'P m -3 m'
_symmetry_Int_Tables_number 221
_symmetry_space_group_name_Hall '-P 4 2 3'
_cell_length_a 4.2757
_cell_length_b 4.2757
_cell_length_c 4.2757
_cell_angle_alpha 90.00
_cell_angle_beta 90.00
_cell_angle_gamma 90.00
loop_
_atom_site_label
_atom_site_type_symbol
_atom_site_fract_x
_atom_site_fract_y
_atom_site_fract_z
Ag1 Ag 0.0000 0.0000 0.5000
Sb1 Sb 0.5000 0.5000 0.5000
H1 H 0.0000 0.0000 0.0000
```

Record 8
A plane-wave DFT calculation with GGA-PBEsol was carried out for a relaxed structure of Ce6B2C3Br3.

Calculated values
Raw formation energy (eV/f.u.): -11.34
E_tot (eV per cell): -99.49

CIF file:
```
data_Ce6B2C3Br3
_symmetry_space_group_name_H-M 'P 1 2/m 1'
_symmetry_Int_Tables_number 10
_cell_length_a 8.4498
_cell_length_b 3.6064
_cell_length_c 9.9653
_cell_angle_alpha 90.00
_cell_angle_beta 114.20
_cell_angle_gamma 90.00
loop_
_symmetry_equiv_pos_as_xyz
'x,y,z'
'-x,-y,-z'
'-x,y,-z'
'x,-y,z'
loop_
_atom_site_label
_atom_site_type_symbol
_atom_site_fract_x
_atom_site_fract_y
_atom_site_fract_z
Ce1 Ce 0.0608 0.0000 0.3405
Ce2 Ce 0.2885 0.5000 0.9873
Ce3 Ce 0.3701 0.0000 0.7189
B1 B 0.1033 0.5000 0.5643
C1 C 0.1664 0.5000 0.7319
C2 C 0.5000 0.0000 0.0000
Br1 Br 0.0000 0.0000 0.0000
Br2 Br 0.3529 0.5000 0.3175
```

Which of these has the lowest E_tot? Y2TeO6

Look up the E_tot of the sixth one. -143.01 eV per cell